Be2CoP | SCAN | PBEsol geometry

Values from the calculation:
- V: 74 Å³ per cell
- Uncorrected energy: -9.130 eV/atom

Lattice parameters (Å, degrees): 7.741 2.520 3.833 90.00 97.58 90.00
Space group C2/m (No. 12)
Inequivalent atoms, fractional coordinates:
Be1 0.243 0.000 0.240 [4 per cell]
Co1 0.000 0.500 0.000 [2 per cell]
P1 0.000 0.000 0.500 [2 per cell]

BeCoP | SCAN | PBEsol geometry

Values from the calculation:
- V: 125 Å³ per cell
- Uncorrected energy: -10.748 eV/atom

Lattice parameters (Å, degrees): 4.995 4.995 4.995 90.00 90.00 90.00
Space group F-43m (No. 216)
Inequivalent atoms, fractional coordinates:
Be1 0.000 0.000 0.000 [4 per cell]
Co1 0.250 0.250 0.750 [4 per cell]
P1 0.250 0.250 0.250 [4 per cell]

BeCoP | SCAN | PBEsol geometry

Values from the calculation:
- V: 130 Å³ per cell
- Uncorrected energy: -11.001 eV/atom

Lattice parameters (Å, degrees): 5.071 5.071 5.071 90.00 90.00 90.00
Space group F-43m (No. 216)
Inequivalent atoms, fractional coordinates:
Be1 0.000 0.000 0.000 [4 per cell]
Co1 0.250 0.250 0.250 [4 per cell]
P1 0.000 0.000 0.500 [4 per cell]

BeCo2P | SCAN | PBEsol geometry

Values from the calculation:
- V: 37 Å³ per cell
- Uncorrected energy: -12.692 eV/atom

Lattice parameters (Å, degrees): 3.530 3.530 2.956 90.00 90.00 90.00
Space group P4/mmm (No. 123)
Inequivalent atoms, fractional coordinates:
Be1 0.000 0.000 0.000 [1 per cell]
Co1 0.000 0.500 0.500 [2 per cell]
P1 0.500 0.500 0.000 [1 per cell]

Be2CoP | SCAN | PBEsol geometry

Values from the calculation:
- V: 75 Å³ per cell
- Uncorrected energy: -9.166 eV/atom

Lattice parameters (Å, degrees): 4.384 6.531 2.618 90.00 90.00 90.00
Space group Cmmm (No. 65)
Inequivalent atoms, fractional coordinates:
Be1 0.250 0.250 0.000 [4 per cell]
Co1 0.000 0.000 0.500 [2 per cell]
P1 0.000 0.500 0.500 [2 per cell]

Be2Co2P | SCAN | PBEsol geometry

Values from the calculation:
- V: 100 Å³ per cell
- Uncorrected energy: -10.912 eV/atom

Lattice parameters (Å, degrees): 5.511 5.511 3.293 90.00 90.00 90.00
Space group P4/mbm (No. 127)
Inequivalent atoms, fractional coordinates:
Be1 0.143 0.357 0.000 [4 per cell]
Co1 0.156 0.656 0.500 [4 per cell]
P1 0.000 0.000 0.500 [2 per cell]

YBeCoP2 | SCAN | PBEsol geometry

Values from the calculation:
- V: 76 Å³ per cell
- Uncorrected energy: -14.330 eV/atom

Lattice parameters (Å, degrees): 4.413 4.413 3.924 90.00 90.00 90.00
Space group P4/mmm (No. 123)
Inequivalent atoms, fractional coordinates:
Y1 0.000 0.000 0.000 [1 per cell]
Be1 0.500 0.500 0.000 [1 per cell]
Co1 0.500 0.500 0.500 [1 per cell]
P1 0.000 0.500 0.500 [2 per cell]

BeCoPb2 | SCAN | PBEsol geometry

Values from the calculation:
- V: 229 Å³ per cell
- Uncorrected energy: -42.999 eV/atom

Lattice parameters (Å, degrees): 3.6841 3.6841 19.5180 90.00 90.00 120.00
Space group R3m (No. 160, hexagonal axes)
Inequivalent atoms, fractional coordinates:
Be1 0.0000 0.0000 0.0000 [3 per cell]
Co1 0.0000 0.0000 0.6693 [3 per cell]
Pb1 0.0000 0.0000 0.2410 [3 per cell]
Pb2 0.0000 0.0000 0.4289 [3 per cell]

BeCo3Pb | SCAN | PBEsol geometry

Values from the calculation:
- V: 101 Å³ per cell
- Uncorrected energy: -24.492 eV/atom

Lattice parameters (Å, degrees): 4.659 4.659 4.659 90.00 90.00 90.00
Space group Pm-3m (No. 221)
Inequivalent atoms, fractional coordinates:
Be1 0.000 0.000 0.000 [1 per cell]
Co1 0.000 0.500 0.500 [3 per cell]
Pb1 0.500 0.500 0.500 [1 per cell]

BeCoPb2 | SCAN | PBEsol geometry

Values from the calculation:
- V: 148 Å³ per cell
- Uncorrected energy: -42.601 eV/atom

Lattice parameters (Å, degrees): 3.811 3.811 10.213 90.00 90.00 90.00
Space group I-4m2 (No. 119)
Inequivalent atoms, fractional coordinates:
Be1 0.000 0.000 0.000 [2 per cell]
Co1 0.000 0.500 0.250 [2 per cell]
Pb1 0.000 0.000 0.500 [2 per cell]
Pb2 0.000 0.500 0.750 [2 per cell]

Be2CoPb | SCAN | PBEsol geometry

Values from the calculation:
- V: 55 Å³ per cell
- Uncorrected energy: -24.968 eV/atom

Lattice parameters (Å, degrees): 2.907 3.838 4.981 90.00 99.66 90.00
Space group P2/m (No. 10)
Inequivalent atoms, fractional coordinates:
Be1 0.191 0.000 0.339 [2 per cell]
Co1 0.500 0.500 0.500 [1 per cell]
Pb1 0.000 0.500 0.000 [1 per cell]

Be3CoPb | SCAN | PBEsol geometry

Values from the calculation:
- V: 92 Å³ per cell
- Uncorrected energy: -19.605 eV/atom

Lattice parameters (Å, degrees): 4.522 4.522 4.522 90.00 90.00 90.00
Space group Pm-3m (No. 221)
Inequivalent atoms, fractional coordinates:
Be1 0.000 0.000 0.500 [3 per cell]
Co1 0.500 0.500 0.500 [1 per cell]
Pb1 0.000 0.000 0.000 [1 per cell]

TiBeCoPb2 | SCAN | PBEsol geometry

Values from the calculation:
- V: 106 Å³ per cell
- Uncorrected energy: -37.090 eV/atom

Lattice parameters (Å, degrees): 4.919 4.919 4.386 90.00 90.00 90.00
Space group P4/mmm (No. 123)
Inequivalent atoms, fractional coordinates:
Ti1 0.000 0.000 0.000 [1 per cell]
Be1 0.500 0.500 0.000 [1 per cell]
Co1 0.000 0.000 0.500 [1 per cell]
Pb1 0.000 0.500 0.500 [2 per cell]

BeCo3Pd | SCAN | PBEsol geometry

Values from the calculation:
- V: 56 Å³ per cell
- Uncorrected energy: -17.314 eV/atom

Lattice parameters (Å, degrees): 3.828 3.828 3.828 90.00 90.00 90.00
Space group Pm-3m (No. 221)
Inequivalent atoms, fractional coordinates:
Be1 0.000 0.000 0.000 [1 per cell]
Co1 0.000 0.000 0.500 [3 per cell]
Pd1 0.500 0.500 0.500 [1 per cell]

BeCo2Pd | SCAN | PBEsol geometry

Values from the calculation:
- V: 187 Å³ per cell
- Uncorrected energy: -17.749 eV/atom

Lattice parameters (Å, degrees): 3.271 3.271 17.468 90.00 90.00 90.00
Space group I-42d (No. 122)
Inequivalent atoms, fractional coordinates:
Be1 0.000 0.000 0.000 [4 per cell]
Co1 0.226 0.250 0.125 [8 per cell]
Pd1 0.000 0.000 0.500 [4 per cell]

BeCo2Pt | SCAN | PBEsol geometry

Values from the calculation:
- V: 44 Å³ per cell
- Uncorrected energy: -27.616 eV/atom

Lattice parameters (Å, degrees): 2.775 3.822 4.178 90.00 90.00 90.00
Space group Pmmm (No. 47)
Inequivalent atoms, fractional coordinates:
Be1 0.000 0.000 0.000 [1 per cell]
Co1 0.000 0.500 0.500 [1 per cell]
Co2 0.500 0.000 0.500 [1 per cell]
Pt1 0.500 0.500 0.000 [1 per cell]

BeCoPt2 | SCAN | PBEsol geometry

Values from the calculation:
- V: 48 Å³ per cell
- Uncorrected energy: -41.088 eV/atom

Lattice parameters (Å, degrees): 2.712 2.712 6.588 90.00 90.00 90.00
Space group P4/mmm (No. 123)
Inequivalent atoms, fractional coordinates:
Be1 0.000 0.000 0.000 [1 per cell]
Co1 0.000 0.000 0.500 [1 per cell]
Pt1 0.500 0.500 0.224 [2 per cell]

Be4CoPt | SCAN | PBEsol geometry

Values from the calculation:
- V: 215 Å³ per cell
- Uncorrected energy: -17.968 eV/atom

Lattice parameters (Å, degrees): 5.993 5.993 5.993 90.00 90.00 90.00
Space group F-43m (No. 216)
Inequivalent atoms, fractional coordinates:
Be1 0.124 0.124 0.124 [16 per cell]
Co1 0.250 0.250 0.750 [4 per cell]
Pt1 0.000 0.000 0.500 [4 per cell]

BeCo2Pt | SCAN | PBEsol geometry

Values from the calculation:
- V: 89 Å³ per cell
- Uncorrected energy: -27.551 eV/atom

Lattice parameters (Å, degrees): 3.403 3.403 7.677 90.00 90.00 90.00
Space group I4/mmm (No. 139)
Inequivalent atoms, fractional coordinates:
Be1 0.000 0.000 0.000 [2 per cell]
Co1 0.000 0.500 0.250 [4 per cell]
Pt1 0.000 0.000 0.500 [2 per cell]

RbBeCo2 | SCAN | PBEsol geometry

Values from the calculation:
- V: 221 Å³ per cell
- Uncorrected energy: -13.091 eV/atom

Lattice parameters (Å, degrees): 6.044 6.044 6.044 90.00 90.00 90.00
Space group Fm-3m (No. 225)
Inequivalent atoms, fractional coordinates:
Rb1 0.000 0.000 0.000 [4 per cell]
Be1 0.000 0.000 0.500 [4 per cell]
Co1 0.250 0.250 0.250 [8 per cell]

RbBe3Co | SCAN | PBEsol geometry

Values from the calculation:
- V: 81 Å³ per cell
- Uncorrected energy: -9.420 eV/atom

Lattice parameters (Å, degrees): 4.320 4.320 4.320 90.00 90.00 90.00
Space group Pm-3m (No. 221)
Inequivalent atoms, fractional coordinates:
Rb1 0.000 0.000 0.000 [1 per cell]
Be1 0.000 0.500 0.500 [3 per cell]
Co1 0.500 0.500 0.500 [1 per cell]

Rb2BeCoSn | SCAN | PBEsol geometry

Values from the calculation:
- V: 163 Å³ per cell
- Uncorrected energy: -18.985 eV/atom

Lattice parameters (Å, degrees): 6.333 6.333 4.074 90.00 90.00 90.00
Space group P4/mmm (No. 123)
Inequivalent atoms, fractional coordinates:
Rb1 0.000 0.500 0.000 [2 per cell]
Be1 0.000 0.000 0.500 [1 per cell]
Co1 0.000 0.000 0.000 [1 per cell]
Sn1 0.500 0.500 0.500 [1 per cell]

BeCo2Re | SCAN | PBEsol geometry

Values from the calculation:
- V: 43 Å³ per cell
- Uncorrected energy: -27.395 eV/atom

Lattice parameters (Å, degrees): 2.534 3.741 4.718 90.00 105.47 90.00
Space group Pm (No. 6)
Inequivalent atoms, fractional coordinates:
Be1 0.000 0.000 0.000 [1 per cell]
Co1 0.120 0.500 0.228 [1 per cell]
Co2 0.747 0.000 0.485 [1 per cell]
Re1 0.379 0.500 0.750 [1 per cell]

BeCoRe | SCAN | PBEsol geometry

Values from the calculation:
- V: 125 Å³ per cell
- Uncorrected energy: -31.178 eV/atom

Lattice parameters (Å, degrees): 4.416 4.577 6.176 90.00 90.00 90.00
Space group Imma (No. 74)
Inequivalent atoms, fractional coordinates:
Be1 0.250 0.250 0.250 [4 per cell]
Co1 0.000 0.000 0.000 [4 per cell]
Re1 0.000 0.250 0.621 [4 per cell]

BeCoRe | SCAN | PBEsol geometry

Values from the calculation:
- V: 35 Å³ per cell
- Uncorrected energy: -30.804 eV/atom

Lattice parameters (Å, degrees): 2.6160 2.6160 5.8617 90.00 90.00 120.00
Space group P3m1 (No. 156)
Inequivalent atoms, fractional coordinates:
Be1 0.0000 0.0000 0.0000 [1 per cell]
Co1 0.3333 0.6667 0.6967 [1 per cell]
Re1 0.6667 0.3333 0.3500 [1 per cell]

BeCo2Re | SCAN | PBEsol geometry

Values from the calculation:
- V: 42 Å³ per cell
- Uncorrected energy: -27.509 eV/atom

Lattice parameters (Å, degrees): 2.658 2.658 5.923 90.00 90.00 90.00
Space group P4mm (No. 99)
Inequivalent atoms, fractional coordinates:
Be1 0.000 0.000 0.000 [1 per cell]
Co1 0.000 0.000 0.446 [1 per cell]
Co2 0.500 0.500 0.186 [1 per cell]
Re1 0.500 0.500 0.727 [1 per cell]

Be3CoRe | SCAN | PBEsol geometry

Values from the calculation:
- V: 52 Å³ per cell
- Uncorrected energy: -19.581 eV/atom

Lattice parameters (Å, degrees): 3.733 3.733 3.733 90.00 90.00 90.00
Space group Pm-3m (No. 221)
Inequivalent atoms, fractional coordinates:
Be1 0.000 0.000 0.500 [3 per cell]
Co1 0.000 0.000 0.000 [1 per cell]
Re1 0.500 0.500 0.500 [1 per cell]

BeCo2Re | SCAN | PBEsol geometry

Values from the calculation:
- V: 41 Å³ per cell
- Uncorrected energy: -27.645 eV/atom

Lattice parameters (Å, degrees): 2.607 2.607 6.094 90.00 90.00 90.00
Space group P4/mmm (No. 123)
Inequivalent atoms, fractional coordinates:
Be1 0.000 0.000 0.000 [1 per cell]
Co1 0.500 0.500 0.213 [2 per cell]
Re1 0.000 0.000 0.500 [1 per cell]

Be3CoRe | SCAN | PBEsol geometry

Values from the calculation:
- V: 70 Å³ per cell
- Uncorrected energy: -19.015 eV/atom

Lattice parameters (Å, degrees): 4.125 4.125 4.125 90.00 90.00 90.00
Space group Pm-3m (No. 221)
Inequivalent atoms, fractional coordinates:
Be1 0.000 0.000 0.500 [3 per cell]
Co1 0.500 0.500 0.500 [1 per cell]
Re1 0.000 0.000 0.000 [1 per cell]